The following is a DFT calculation (PBE-GGA) of a geometry-optimized CaPr6Sm4 structure.

The structure belongs to space group I-42m (No. 121); the cell edges are 6.693, 6.693 and 17.973 Å and the angles 90.00°, 90.00° and 90.00°. The asymmetric unit holds Ca at (0.000, 0.000, 0.000), Pr at (0.000, 0.500, 0.000), Pr at (0.174, 0.174, 0.632) and Sm at (0.186, 0.186, 0.820).

As for the density of states at the Fermi level: 1.617 states/eV/atom. Its size of the total moment is 0.000 Bohr magnetons per cell. As for the formation energy from the elements: 0.305 eV per atom.

***

The following is a DFT calculation (PBE-GGA) of a geometry-optimized LiAc2HfSe6 structure.

The structure belongs to space group P2_1/c (No. 14); the cell edges are 6.625, 7.902 and 12.017 Å and the angles 90.00°, 122.40° and 90.00°. The asymmetric unit holds Li at (0.000, 0.000, 0.000), Ac at (0.203, 0.106, 0.752), Hf at (0.500, 0.000, 0.500), Se at (0.118, 0.177, 0.452), Se at (0.287, 0.696, 0.452) and Se at (0.344, 0.021, 0.247).

As for the uncorrected formation energy: -1.586 eV/atom. As for the density of states at the Fermi level: 0.622 states/eV/atom. Its size of the total moment is 0.000 Bohr magnetons per cell.

***

The following is a DFT calculation (PBE-GGA) of a geometry-optimized TcOs2W structure.

The structure belongs to space group Pmmm (No. 47); the cell edges are 2.950, 4.518 and 4.521 Å and the angles 90.00°, 90.00° and 90.00°. The asymmetric unit holds Tc at (0.000, 0.000, 0.000), Os at (0.000, 0.500, 0.500), Os at (0.500, 0.500, 0.000) and W at (0.500, 0.000, 0.500).

As for the density of states at the Fermi level: 1.235 states/eV/atom. The energy relative to the lowest polymorph listed for this composition is 41.1 kJ per mole of atoms. Its size of the total moment is 0.000 Bohr magnetons per cell. As for the formation energy from the elements: 0.412 eV per atom.

***

The following is a DFT calculation (PBE-GGA) of a geometry-optimized NaSr2Li12Hg3 structure.

The structure belongs to space group R-3m (No. 166, hexagonal axes); the cell edges are 10.0644, 10.0644 and 14.2803 Å and the angles 90.00°, 90.00° and 120.00°. The asymmetric unit holds Na at (0.0000, 0.0000, 0.0000), Sr at (0.0000, 0.0000, 0.2628), Li at (0.0141, 0.5071, 0.7029), Li at (0.0383, 0.5192, 0.1056) and Hg at (0.0000, 0.5000, 0.5000).

As for the density of states at the Fermi level: 0.576 states/eV/atom. Its size of the total moment is 0.000 Bohr magnetons per cell. As for the formation energy from the elements: -0.077 eV per atom.

***

The following is a DFT calculation (PBE-GGA) of a geometry-optimized Cs6AgH structure.

The structure belongs to space group C2/m (No. 12); the cell edges are 9.053, 15.618 and 8.809 Å and the angles 90.00°, 108.29° and 90.00°. The asymmetric unit holds Cs at (0.211, 0.151, 0.243), Cs at (0.250, 0.000, 0.781), Ag at (0.000, 0.500, 0.500) and H at (0.000, 0.000, 0.000).

The value obtained for the final energy is -1.405 eV per atom. As for the density of states at the Fermi level: 0.805 states/eV/atom. Its size of the total moment is 0.000 Bohr magnetons per cell.

***

The following is a DFT calculation (PBE-GGA) of a geometry-optimized TaAsCl2 structure.

The structure belongs to space group Pmmm (No. 47); the cell edges are 2.974, 4.616 and 5.290 Å and the angles 90.00°, 90.00° and 90.00°. The asymmetric unit holds Ta at (0.000, 0.000, 0.000), As at (0.500, 0.000, 0.500), Cl at (0.000, 0.500, 0.500) and Cl at (0.500, 0.500, 0.000).

As for the uncorrected formation energy: 0.300 eV/atom. As for the density of states at the Fermi level: 0.873 states/eV/atom. The energy relative to the lowest polymorph listed for this composition is 90.2 kJ per mole of atoms. Its size of the total moment is 0.081 Bohr magnetons per cell.

***

The following is a DFT calculation (PBE-GGA) of a geometry-optimized ZnTcHgPb2 structure.

The structure belongs to space group P4/mmm (No. 123); the cell edges are 5.290, 5.290 and 5.401 Å and the angles 90.00°, 90.00° and 90.00°. The asymmetric unit holds Zn at (0.000, 0.000, 0.000), Tc at (0.500, 0.500, 0.500), Hg at (0.500, 0.500, 0.000) and Pb at (0.000, 0.500, 0.500).

As for the density of states at the Fermi level: 0.500 states/eV/atom. Its size of the total moment is 0.000 Bohr magnetons per cell. As for the formation energy from the elements: 0.489 eV per atom.

***

The following is a DFT calculation (PBE-GGA) of a geometry-optimized PrNdNiPt structure.

The structure belongs to space group Amm2 (No. 38); the cell edges are 4.447, 3.971 and 10.713 Å and the angles 90.00°, 90.00° and 90.00°. The asymmetric unit holds Pr at (0.000, 0.000, 0.000), Nd at (0.500, 0.000, 0.722), Ni at (0.000, 0.000, 0.281) and Pt at (0.500, 0.000, 0.437).

As for the density of states at the Fermi level: 0.662 states/eV/atom. The energy relative to the lowest polymorph listed for this composition is 0.0 kJ per mole of atoms. Its size of the total moment is 0.000 Bohr magnetons per cell. As for the formation energy from the elements: -0.722 eV per atom.